# 1
# RbSmHgO3

A relaxed structure of RbSmHgO3 (PBE-GGA, Alexandria via LeMat-Bulk).

The structure belongs to space group P2_1/m (No. 11); the cell edges are 7.868, 3.611 and 9.521 Å and the angles 90.00°, 96.55° and 90.00°. The inequivalent atoms are Rb at (0.155, 0.250, 0.218), Sm at (0.371, 0.750, 0.874), Hg at (0.159, 0.250, 0.589), O at (0.169, 0.750, 0.453), O at (0.186, 0.250, 0.829) and O at (0.427, 0.750, 0.105).

Its spin magnetization is 0.0 μB per cell. The value obtained for the theoretical density is 6.0 g/cm3. The value obtained for the formation energy without anion corrections is -1.73 eV/atom. For the total energy, the calculation gives -5.208 eV/atom.

***

# 2
# SrLi2PrGe2

A relaxed structure of SrLi2PrGe2 (PBE-GGA, Alexandria via LeMat-Bulk).

The structure belongs to space group P-3m1 (No. 164); the cell edges are 4.6379, 4.6379 and 7.7913 Å and the angles 90.00°, 90.00° and 120.00°. The inequivalent atoms are Sr at (0.0000, 0.0000, 0.0000), Li at (0.3333, 0.6667, 0.7150), Pr at (0.0000, 0.0000, 0.5000) and Ge at (0.3333, 0.6667, 0.2849).

Its spin magnetization is 0.0 μB per cell. For the formation enthalpy at 0 K, the calculation gives -0.57 eV per atom. The value obtained for the theoretical density is 4.4 g/cm3. For the total energy, the calculation gives -3.819 eV/atom.

***

# 3
# Al4IrRu

A relaxed structure of Al4IrRu (PBE-GGA, Alexandria via LeMat-Bulk).

The structure belongs to space group F-43m (No. 216); the cell edges are 6.996, 6.996 and 6.996 Å and the angles 90.00°, 90.00° and 90.00°. The inequivalent atoms are Al at (0.125, 0.125, 0.125), Ir at (0.250, 0.250, 0.750) and Ru at (0.000, 0.000, 0.500).

Its spin magnetization is 0.0 μB per cell. For the formation enthalpy at 0 K, the calculation gives -0.05 eV per atom. The value obtained for the theoretical density is 7.8 g/cm3. For the total energy, the calculation gives -5.564 eV/atom.

***

# 4
# Ti2Ni3Rh3

A relaxed structure of Ti2Ni3Rh3 (PBE-GGA, Alexandria via LeMat-Bulk).

The structure belongs to space group Pmmm (No. 47); the cell edges are 3.770, 3.820 and 7.307 Å and the angles 90.00°, 90.00° and 90.00°. The inequivalent atoms are Ti at (0.000, 0.000, 0.247), Ni at (0.000, 0.500, 0.000), Ni at (0.500, 0.500, 0.245), Rh at (0.000, 0.500, 0.500), Rh at (0.500, 0.000, 0.000) and Rh at (0.500, 0.000, 0.500).

Its spin magnetization is 0.8 μB per cell. For the formation enthalpy at 0 K, the calculation gives -0.55 eV per atom. The value obtained for the theoretical density is 9.2 g/cm3. For the total energy, the calculation gives -7.450 eV/atom.

***

# 5
# Na2TbBiO4

A relaxed structure of Na2TbBiO4 (PBE-GGA, Alexandria via LeMat-Bulk).

The structure belongs to space group P2/m (No. 10); the cell edges are 5.998, 3.489 and 6.070 Å and the angles 90.00°, 109.55° and 90.00°. The inequivalent atoms are Na at (0.000, 0.000, 0.000), Na at (0.000, 0.500, 0.500), Tb at (0.500, 0.000, 0.500), Bi at (0.500, 0.500, 0.000), O at (0.275, 0.000, 0.746) and O at (0.285, 0.500, 0.272).

Its spin magnetization is 0.0 μB per cell. The value obtained for the theoretical density is 6.6 g/cm3. The value obtained for the formation energy without anion corrections is -2.06 eV/atom. For the total energy, the calculation gives -5.929 eV/atom.

***

# 6
# ZrInCl2

A relaxed structure of ZrInCl2 (PBE-GGA, Alexandria via LeMat-Bulk).

The structure belongs to space group R-3m (No. 166, hexagonal axes); the cell edges are 3.3353, 3.3353 and 30.1531 Å and the angles 90.00°, 90.00° and 120.00°. The inequivalent atoms are Zr at (0.0000, 0.0000, 0.0000), In at (0.0000, 0.0000, 0.5000) and Cl at (0.0000, 0.0000, 0.2725).

The value obtained for the energy relative to the lowest polymorph listed for this composition is 22 meV/atom. Its spin magnetization is 1.2 μB per cell. The value obtained for the theoretical density is 4.7 g/cm3. The value obtained for the formation energy without anion corrections is -1.02 eV/atom. For the total energy, the calculation gives -4.768 eV/atom.

***

> spin magnetization of number 6 (ZrInCl2)?

1.2 μB per cell